# 1
Below is a relaxed structure of Rb2Tl12AgPd3, with properties calculated at the GGA-PBE level. Values from VASP.

```
&SYSTEM
  ibrav = 0, nat = 18, ntyp = 4
/
ATOMIC_SPECIES
Tl 204.38 Tl.upf
Pd 106.42 Pd.upf
Rb 85.47 Rb.upf
Ag 107.87 Ag.upf
CELL_PARAMETERS angstrom
8.8393 -0.9992 -0.7087
3.4964 8.1796 -0.7087
3.4964 2.0352 7.9540
ATOMIC_POSITIONS angstrom
Tl 4.0002 5.3947 0.5775
Pd 1.7482 4.0898 -0.3544
Pd 4.4196 -0.4996 -0.3544
Tl 9.3659 5.4517 -0.3507
Tl 9.1657 8.4014 5.9590
Tl 9.9274 1.7981 1.2754
Rb 6.3507 3.6966 2.6220
Tl 6.6664 0.8142 0.5775
Tl 5.9047 7.4175 5.2611
Tl 4.0002 2.3285 4.9004
Tl 11.8319 3.8209 5.9590
Pd 1.7482 1.0176 3.9770
Ag 0.0000 0.0000 0.0000
Tl 6.4662 3.7639 6.8872
Tl 6.4662 7.7443 1.2754
Tl 11.8319 6.8871 1.6361
Tl 9.3659 1.4713 5.2611
Rb 9.4814 5.5190 3.9146
```

Energy   -2.68 eV per atom
Space group   R-3m
Spin magnetization   0.0 μB/cell
Formation energy   0.49 eV per formula unit

=====

# 2
Below is a relaxed structure of Er7Si5Sn, with properties calculated at the GGA-PBE level. Values from VASP.

```
&SYSTEM
  ibrav = 0, nat = 13, ntyp = 3
/
ATOMIC_SPECIES
Er 167.26 Er.upf
Sn 118.71 Sn.upf
Si 28.09 Si.upf
CELL_PARAMETERS angstrom
-0.1208 3.1526 4.7920
3.6428 -3.5968 5.8926
5.8327 5.1846 0.1708
ATOMIC_POSITIONS angstrom
Er 5.0105 5.3723 3.4611
Sn 0.4421 3.0608 4.8666
Er 7.0669 1.9806 5.7443
Er 3.4719 2.5667 5.2680
Er 2.0661 1.2295 2.6777
Si 7.5294 3.5697 3.2193
Si 6.4057 -0.9364 6.1554
Er 5.0343 5.4538 6.8426
Si 6.8006 3.5904 8.1130
Si 7.4770 4.9385 5.2999
Si 6.3532 0.4324 8.2360
Er 4.2793 2.4262 8.8154
Er 3.5457 -0.5017 7.2886
```

Energy   -5.30 eV per atom
Space group   Imm2
Formation energy without anion corrections   -454 meV per atom
Spin magnetization   0.0 μB/cell